1.
# TcWN2F (GGA+U, relaxed)
# DFT total energy ... -6.70 eV/atom
# E above lowest polymorph ... 60 meV/atom
data_TcWN2F
_chemical_formula_sum 'Tc1 W1 N2 F1'
_cell_length_a 3.958
_cell_length_b 3.958
_cell_length_c 4.004
_cell_angle_alpha 90.00
_cell_angle_beta 90.00
_cell_angle_gamma 90.00
_space_group_name_H-M_alt 'P 4/m m m'
_space_group_IT_number 123
_space_group_name_Hall '-P 4 2'
loop_
_atom_site_label
_atom_site_type_symbol
_atom_site_fract_x
_atom_site_fract_y
_atom_site_fract_z
_atom_site_occupancy
Tc1 Tc 0.000 0.000 0.000 1
W1 W 0.500 0.500 0.500 1
N1 N 0.000 0.500 0.000 1
F1 F 0.000 0.000 0.500 1

***

2.
# TcWN2F (GGA+U, relaxed)
# DFT total energy ... -6.76 eV/atom
# E above lowest polymorph ... 0 meV/atom
data_TcWN2F
_chemical_formula_sum 'Tc1 W1 N2 F1'
_cell_length_a 4.058
_cell_length_b 4.058
_cell_length_c 4.092
_cell_angle_alpha 90.00
_cell_angle_beta 90.00
_cell_angle_gamma 90.00
_space_group_name_H-M_alt 'P 4/m m m'
_space_group_IT_number 123
_space_group_name_Hall '-P 4 2'
loop_
_atom_site_label
_atom_site_type_symbol
_atom_site_fract_x
_atom_site_fract_y
_atom_site_fract_z
_atom_site_occupancy
Tc1 Tc 0.000 0.000 0.000 1
W1 W 0.500 0.500 0.500 1
N1 N 0.000 0.500 0.500 1
F1 F 0.500 0.500 0.000 1

***

| no. | DOS at the Fermi energy (states/eV per cell) |
| --- | --- |
| 1 | 2.9 |
| 2 | 2.3 |